KTlPbAu | PBE | relaxed

Output
**Offset from the most stable computed form**: 0.52 eV/f.u.
**Energy relative to the elements**: -44 meV/atom
**DFT total energy**: -10.62 eV per cell
**Total moment**: 0.0 μB/cell

Structure (POSCAR):
```
KTlPbAu
1.0
-1.3864 0.3741 5.2552
-4.4255 -2.5897 1.8406
0.5371 -4.3218 3.2731
Tl Pb Au K
1 1 1 1
Direct
0.7500 0.7500 0.7500
0.5000 0.5000 0.5000
0.2500 0.2500 0.2500
0.0000 0.0000 0.0000
```